Material: PaGaCoN
Method: DFT, PBE-GGA
State: optimized geometry

Cell lengths 4.033, 4.033, 7.504 Å; angles 90.00, 90.00, 90.00 degrees
Element x y z (fractional)
Co 0.000 0.000 0.000
Co 0.500 0.500 0.000
Ga 0.000 0.500 0.843
Ga 0.500 0.000 0.157
N 0.500 0.500 0.500
N 0.000 0.000 0.500
Pa 0.000 0.500 0.350
Pa 0.500 0.000 0.650

Energy ... -7.8743 eV per atom
E_form (uncorrected) ... -0.886 eV/atom
SG ... P4/nmm